# 1
PBE Y2URu3, optimized geometry; D(E_F) = 4.26 states/eV per cell; energy of formation from the pure elements = -0.267 eV/atom
1.0
3.737 0.000 1.565
1.586 5.965 1.456
-0.137 0.055 5.571
Y U Ru
2 1 3
direct
0.563 0.159 0.716 Y
0.409 0.859 0.323 Y
0.145 0.458 0.253 U
0.889 0.550 0.671 Ru
0.830 0.214 0.126 Ru
0.164 0.760 0.912 Ru

# 2
PBE Y2URu3, optimized geometry; D(E_F) = 4.28 states/eV per cell; energy of formation from the pure elements = -0.071 eV/atom
1.0
-2.525 -1.568 1.489
3.628 -2.969 3.025
-0.670 7.085 2.611
Y U Ru
2 1 3
direct
0.668 0.168 0.337 Y
0.332 0.832 0.663 Y
0.000 0.500 0.000 U
0.357 0.357 0.715 Ru
0.000 0.000 0.000 Ru
0.643 0.643 0.285 Ru

# 3
PBE YURu, optimized geometry; D(E_F) = 3.97 states/eV per cell; energy of formation from the pure elements = -0.103 eV/atom
1.0
3.485 0.000 0.000
0.000 3.485 0.000
-1.742 -1.742 5.471
Y Ru U
1 1 1
direct
0.999 0.999 0.998 Y
0.300 0.300 0.601 Ru
0.701 0.701 0.401 U